DFT (PBE+U) results for crystalline VHgO2 at its relaxed geometry.

Properties
Volume ... 148.26 Å³ per cell
VASP energy ... -46.08 eV per cell
Space group ... No. 227

```
VHgO2
1.0
5.940 0.000 0.000
0.000 5.940 0.000
2.970 2.970 4.201
Hg O V
2 4 2
direct
0.750 0.250 0.500
0.000 0.000 0.000
0.376 0.125 0.250
0.374 0.625 0.250
0.875 0.626 0.750
0.375 0.624 0.750
0.250 0.750 0.500
0.500 0.500 0.000
```